(1)
# Pm5Pr8Y | Alexandria via LeMat-Bulk | PBE | relaxed
data_Pm5Pr8Y
_chemical_formula_sum 'Pm10 Pr16 Y2'
_space_group_name_H-M_alt 'I -4'
_space_group_IT_number 82
_cell_length_a 9.8770
_cell_length_b 9.8770
_cell_length_c 10.3827
_cell_angle_alpha 90.00
_cell_angle_beta 90.00
_cell_angle_gamma 90.00
loop_
_space_group_symop_operation_xyz
'x,y,z'
'y,-x,-z'
'-x,-y,z'
'-y,x,-z'
'x+1/2,y+1/2,z+1/2'
'y+1/2,-x+1/2,-z+1/2'
'-x+1/2,-y+1/2,z+1/2'
'-y+1/2,x+1/2,-z+1/2'
loop_
_atom_site_label
_atom_site_fract_x
_atom_site_fract_y
_atom_site_fract_z
_atom_site_occupancy
Pm1 0.0000 0.0000 0.0000 1
Pm2 0.1064 0.7928 0.4255 1
Pr1 0.0695 0.6730 0.0962 1
Pr2 0.0841 0.8179 0.7546 1
Y1 0.0000 0.5000 0.7500 1
# * formation enthalpy at 0 K: 234 meV per atom
# * uncorrected energy: -130.4 eV per cell

---

(2)
# Pm2Pr4Y5 | Alexandria via LeMat-Bulk | PBE | relaxed
data_Pm2Pr4Y5
_chemical_formula_sum 'Pm4 Pr8 Y10'
_space_group_name_H-M_alt 'C 1 2/m 1'
_space_group_IT_number 12
_cell_length_a 11.4918
_cell_length_b 6.8938
_cell_length_c 11.1392
_cell_angle_alpha 90.00
_cell_angle_beta 119.28
_cell_angle_gamma 90.00
loop_
_space_group_symop_operation_xyz
'x,y,z'
'-x,-y,-z'
'-x,y,-z'
'x,-y,z'
'x+1/2,y+1/2,z'
'-x+1/2,-y+1/2,-z'
'-x+1/2,y+1/2,-z'
'x+1/2,-y+1/2,z'
loop_
_atom_site_label
_atom_site_fract_x
_atom_site_fract_y
_atom_site_fract_z
_atom_site_occupancy
Pm1 0.2368 0.0000 0.2296 1
Pr1 0.1253 0.5000 0.4352 1
Pr2 0.2170 0.5000 0.1990 1
Y1 0.0000 0.0000 0.5000 1
Y2 0.0729 0.2471 0.8884 1
# * formation enthalpy at 0 K: 161 meV per atom
# * uncorrected energy: -118.3 eV per cell

---

(3)
# Pm5Pr6Y2 | Alexandria via LeMat-Bulk | PBE | relaxed
data_Pm5Pr6Y2
_chemical_formula_sum 'Pm10 Pr12 Y4'
_space_group_name_H-M_alt 'P b a m'
_space_group_IT_number 55
_cell_length_a 11.9102
_cell_length_b 21.0599
_cell_length_c 3.6745
_cell_angle_alpha 90.00
_cell_angle_beta 90.00
_cell_angle_gamma 90.00
loop_
_space_group_symop_operation_xyz
'x,y,z'
'-x,-y,-z'
'-x,-y,z'
'x,y,-z'
'x+1/2,-y+1/2,-z'
'-x+1/2,y+1/2,z'
'-x+1/2,y+1/2,-z'
'x+1/2,-y+1/2,z'
loop_
_atom_site_label
_atom_site_fract_x
_atom_site_fract_y
_atom_site_fract_z
_atom_site_occupancy
Pm1 0.0000 0.0000 0.0000 1
Pm2 0.0899 0.2739 0.0000 1
Pm3 0.1983 0.5555 0.0000 1
Pr1 0.0611 0.4197 0.5000 1
Pr2 0.0817 0.1327 0.5000 1
Pr3 0.1755 0.8640 0.0000 1
Y1 0.1681 0.7112 0.5000 1
# * formation enthalpy at 0 K: 89 meV per atom
# * uncorrected energy: -128.4 eV per cell

---

- What is the formation enthalpy at 0 K in the second record?
  161 meV per atom

---

- What is the formation enthalpy at 0 K in the third record?
  89 meV per atom

---

Please write out number 1 again, unchanged.
# Pm5Pr8Y | Alexandria via LeMat-Bulk | PBE | relaxed
data_Pm5Pr8Y
_chemical_formula_sum 'Pm10 Pr16 Y2'
_space_group_name_H-M_alt 'I -4'
_space_group_IT_number 82
_cell_length_a 9.8770
_cell_length_b 9.8770
_cell_length_c 10.3827
_cell_angle_alpha 90.00
_cell_angle_beta 90.00
_cell_angle_gamma 90.00
loop_
_space_group_symop_operation_xyz
'x,y,z'
'y,-x,-z'
'-x,-y,z'
'-y,x,-z'
'x+1/2,y+1/2,z+1/2'
'y+1/2,-x+1/2,-z+1/2'
'-x+1/2,-y+1/2,z+1/2'
'-y+1/2,x+1/2,-z+1/2'
loop_
_atom_site_label
_atom_site_fract_x
_atom_site_fract_y
_atom_site_fract_z
_atom_site_occupancy
Pm1 0.0000 0.0000 0.0000 1
Pm2 0.1064 0.7928 0.4255 1
Pr1 0.0695 0.6730 0.0962 1
Pr2 0.0841 0.8179 0.7546 1
Y1 0.0000 0.5000 0.7500 1
# * formation enthalpy at 0 K: 234 meV per atom
# * uncorrected energy: -130.4 eV per cell